# Pr2B3PdPt12

A geometry-optimized Pr2B3PdPt12 structure (PBE-GGA, Alexandria).

Geometry as CIF:
```
data_Pr2B3PdPt12
_chemical_formula_sum 'Pr2 B3 Pd1 Pt12'
_symmetry_space_group_name_H-M 'P 1'
_symmetry_Int_Tables_number 1
_symmetry_space_group_name_Hall 'P 1'
_cell_length_a 7.454
_cell_length_b 7.454
_cell_length_c 7.454
_cell_angle_alpha 64.84
_cell_angle_beta 64.84
_cell_angle_gamma 64.84
loop_
_atom_site_label
_atom_site_fract_x
_atom_site_fract_y
_atom_site_fract_z
_atom_site_occupancy
Pr1 0.104 0.104 0.104 1
Pr2 0.896 0.896 0.896 1
B1 0.000 0.500 0.500 1
B2 0.500 0.000 0.500 1
B3 0.500 0.500 0.000 1
Pd1 0.500 0.500 0.500 1
Pt1 0.110 0.625 0.625 1
Pt2 0.176 0.176 0.587 1
Pt3 0.176 0.587 0.176 1
Pt4 0.375 0.375 0.890 1
Pt5 0.375 0.890 0.375 1
Pt6 0.413 0.824 0.824 1
Pt7 0.587 0.176 0.176 1
Pt8 0.625 0.110 0.625 1
Pt9 0.625 0.625 0.110 1
Pt10 0.824 0.413 0.824 1
Pt11 0.824 0.824 0.413 1
Pt12 0.890 0.375 0.375 1
```

Calculated values
Raw total energy ... -6.283 eV/atom
Spin magnetization ... 0.0 μB per formula unit

# Pr2BPd4Pt2

A geometry-optimized Pr2BPd4Pt2 structure (PBE-GGA, Alexandria).

Geometry as CIF:
```
data_Pr2BPd4Pt2
_chemical_formula_sum 'Pr2 B1 Pd4 Pt2'
_symmetry_space_group_name_H-M 'P 1'
_symmetry_Int_Tables_number 1
_symmetry_space_group_name_Hall 'P 1'
_cell_length_a 6.083
_cell_length_b 6.083
_cell_length_c 6.083
_cell_angle_alpha 120.13
_cell_angle_beta 120.13
_cell_angle_gamma 89.78
loop_
_atom_site_label
_atom_site_fract_x
_atom_site_fract_y
_atom_site_fract_z
_atom_site_occupancy
Pr1 0.250 0.750 0.500 1
Pr2 0.750 0.250 0.500 1
B1 0.000 0.000 0.000 1
Pd1 0.260 0.260 0.521 1
Pd2 0.260 0.740 0.000 1
Pd3 0.740 0.260 0.000 1
Pd4 0.740 0.740 0.479 1
Pt1 0.246 0.246 0.000 1
Pt2 0.754 0.754 0.000 1
```

Calculated values
Raw total energy ... -6.252 eV/atom
Spin magnetization ... 0.0 μB per formula unit

# Pr3BPd2Rh3

A geometry-optimized Pr3BPd2Rh3 structure (PBE-GGA, Alexandria).

Geometry as CIF:
```
data_Pr3BPd2Rh3
_chemical_formula_sum 'Pr3 B1 Pd2 Rh3'
_symmetry_space_group_name_H-M 'P 1'
_symmetry_Int_Tables_number 1
_symmetry_space_group_name_Hall 'P 1'
_cell_length_a 7.486
_cell_length_b 7.486
_cell_length_c 3.569
_cell_angle_alpha 90.00
_cell_angle_beta 90.00
_cell_angle_gamma 120.00
loop_
_atom_site_label
_atom_site_fract_x
_atom_site_fract_y
_atom_site_fract_z
_atom_site_occupancy
Pr1 0.000 0.377 0.000 1
Pr2 0.377 0.000 0.000 1
Pr3 0.623 0.623 0.000 1
B1 0.000 0.000 0.000 1
Pd1 0.333 0.667 0.500 1
Pd2 0.667 0.333 0.500 1
Rh1 0.000 0.789 0.500 1
Rh2 0.211 0.211 0.500 1
Rh3 0.789 0.000 0.500 1
```

Calculated values
Raw total energy ... -6.543 eV/atom
Spin magnetization ... 0.0 μB per formula unit

# PrBPdRh2

A geometry-optimized PrBPdRh2 structure (PBE-GGA, Alexandria).

Geometry as CIF:
```
data_PrBPdRh2
_chemical_formula_sum 'Pr1 B1 Pd1 Rh2'
_symmetry_space_group_name_H-M 'P 1'
_symmetry_Int_Tables_number 1
_symmetry_space_group_name_Hall 'P 1'
_cell_length_a 4.291
_cell_length_b 4.291
_cell_length_c 4.316
_cell_angle_alpha 90.00
_cell_angle_beta 90.00
_cell_angle_gamma 90.00
loop_
_atom_site_label
_atom_site_fract_x
_atom_site_fract_y
_atom_site_fract_z
_atom_site_occupancy
Pr1 0.000 0.000 0.000 1
B1 0.500 0.500 0.500 1
Pd1 0.500 0.500 0.000 1
Rh1 0.000 0.500 0.500 1
Rh2 0.500 0.000 0.500 1
```

Calculated values
Raw total energy ... -6.970 eV/atom
Spin magnetization ... 0.0 μB per formula unit

# Pr3B2PdRh9

A geometry-optimized Pr3B2PdRh9 structure (PBE-GGA, Alexandria).

Geometry as CIF:
```
data_Pr3B2PdRh9
_chemical_formula_sum 'Pr3 B2 Pd1 Rh9'
_symmetry_space_group_name_H-M 'P 1'
_symmetry_Int_Tables_number 1
_symmetry_space_group_name_Hall 'P 1'
_cell_length_a 5.856
_cell_length_b 5.856
_cell_length_c 8.804
_cell_angle_alpha 90.00
_cell_angle_beta 90.00
_cell_angle_gamma 120.00
loop_
_atom_site_label
_atom_site_fract_x
_atom_site_fract_y
_atom_site_fract_z
_atom_site_occupancy
Pr1 0.000 0.000 0.000 1
Pr2 0.333 0.667 0.631 1
Pr3 0.667 0.333 0.369 1
B1 0.333 0.667 0.146 1
B2 0.667 0.333 0.854 1
Pd1 0.000 0.000 0.500 1
Rh1 0.000 0.500 0.000 1
Rh2 0.164 0.328 0.273 1
Rh3 0.164 0.836 0.273 1
Rh4 0.328 0.164 0.727 1
Rh5 0.500 0.000 0.000 1
Rh6 0.500 0.500 0.000 1
Rh7 0.672 0.836 0.273 1
Rh8 0.836 0.164 0.727 1
Rh9 0.836 0.672 0.727 1
```

Calculated values
Raw total energy ... -7.024 eV/atom
Spin magnetization ... 0.0 μB per formula unit

# Pr2BSbPd6

A geometry-optimized Pr2BSbPd6 structure (PBE-GGA, Alexandria).

Geometry as CIF:
```
data_Pr2BSbPd6
_chemical_formula_sum 'Pr4 B2 Sb2 Pd12'
_symmetry_space_group_name_H-M 'P 1'
_symmetry_Int_Tables_number 1
_symmetry_space_group_name_Hall 'P 1'
_cell_length_a 5.885
_cell_length_b 8.816
_cell_length_c 7.495
_cell_angle_alpha 90.00
_cell_angle_beta 90.00
_cell_angle_gamma 90.00
loop_
_atom_site_label
_atom_site_fract_x
_atom_site_fract_y
_atom_site_fract_z
_atom_site_occupancy
Pr1 0.250 0.030 0.217 1
Pr2 0.250 0.470 0.217 1
Pr3 0.750 0.530 0.783 1
Pr4 0.750 0.970 0.783 1
B1 0.250 0.250 0.672 1
B2 0.750 0.750 0.328 1
Sb1 0.250 0.750 0.835 1
Sb2 0.750 0.250 0.165 1
Pd1 0.012 0.750 0.513 1
Pd2 0.015 0.250 0.883 1
Pd3 0.250 0.011 0.650 1
Pd4 0.250 0.489 0.650 1
Pd5 0.485 0.250 0.883 1
Pd6 0.488 0.750 0.513 1
Pd7 0.512 0.250 0.487 1
Pd8 0.515 0.750 0.117 1
Pd9 0.750 0.511 0.350 1
Pd10 0.750 0.989 0.350 1
Pd11 0.985 0.750 0.117 1
Pd12 0.988 0.250 0.487 1
```

Calculated values
Formation energy without anion corrections ... -701 meV/atom
Spin magnetization ... 0.0 μB per formula unit

# Pr2SiBPd6

A geometry-optimized Pr2SiBPd6 structure (PBE-GGA, Alexandria).

Geometry as CIF:
```
data_Pr2SiBPd6
_chemical_formula_sum 'Pr4 Si2 B2 Pd12'
_symmetry_space_group_name_H-M 'P 1'
_symmetry_Int_Tables_number 1
_symmetry_space_group_name_Hall 'P 1'
_cell_length_a 5.816
_cell_length_b 8.767
_cell_length_c 7.133
_cell_angle_alpha 90.00
_cell_angle_beta 90.00
_cell_angle_gamma 90.00
loop_
_atom_site_label
_atom_site_fract_x
_atom_site_fract_y
_atom_site_fract_z
_atom_site_occupancy
Pr1 0.250 0.032 0.217 1
Pr2 0.250 0.468 0.217 1
Pr3 0.750 0.532 0.783 1
Pr4 0.750 0.968 0.783 1
Si1 0.250 0.750 0.811 1
Si2 0.750 0.250 0.189 1
B1 0.250 0.250 0.695 1
B2 0.750 0.750 0.305 1
Pd1 0.002 0.250 0.912 1
Pd2 0.014 0.750 0.506 1
Pd3 0.250 0.007 0.664 1
Pd4 0.250 0.493 0.664 1
Pd5 0.486 0.750 0.506 1
Pd6 0.498 0.250 0.912 1
Pd7 0.502 0.750 0.088 1
Pd8 0.514 0.250 0.494 1
Pd9 0.750 0.507 0.336 1
Pd10 0.750 0.993 0.336 1
Pd11 0.986 0.250 0.494 1
Pd12 0.998 0.750 0.088 1
```

Calculated values
Formation energy without anion corrections ... -718 meV/atom
Spin magnetization ... 0.0 μB per formula unit

# Pr2ZnBPd6

A geometry-optimized Pr2ZnBPd6 structure (PBE-GGA, Alexandria).

Geometry as CIF:
```
data_Pr2ZnBPd6
_chemical_formula_sum 'Pr4 Zn2 B2 Pd12'
_symmetry_space_group_name_H-M 'P 1'
_symmetry_Int_Tables_number 1
_symmetry_space_group_name_Hall 'P 1'
_cell_length_a 5.753
_cell_length_b 8.777
_cell_length_c 7.361
_cell_angle_alpha 90.00
_cell_angle_beta 90.00
_cell_angle_gamma 90.00
loop_
_atom_site_label
_atom_site_fract_x
_atom_site_fract_y
_atom_site_fract_z
_atom_site_occupancy
Pr1 0.250 0.033 0.214 1
Pr2 0.250 0.467 0.214 1
Pr3 0.750 0.533 0.786 1
Pr4 0.750 0.967 0.786 1
Zn1 0.250 0.750 0.823 1
Zn2 0.750 0.250 0.177 1
B1 0.250 0.250 0.684 1
B2 0.750 0.750 0.316 1
Pd1 0.007 0.250 0.896 1
Pd2 0.013 0.750 0.514 1
Pd3 0.250 0.009 0.647 1
Pd4 0.250 0.491 0.647 1
Pd5 0.487 0.750 0.514 1
Pd6 0.493 0.250 0.896 1
Pd7 0.507 0.750 0.104 1
Pd8 0.513 0.250 0.486 1
Pd9 0.750 0.509 0.353 1
Pd10 0.750 0.991 0.353 1
Pd11 0.987 0.250 0.486 1
Pd12 0.993 0.750 0.104 1
```

Calculated values
Raw total energy ... -5.513 eV/atom
Spin magnetization ... 0.0 μB per formula unit

Question: Number 2 is which compound?
Answer: Pr2BPd4Pt2

Repeat the first record exactly.
# Pr2B3PdPt12

A geometry-optimized Pr2B3PdPt12 structure (PBE-GGA, Alexandria).

Geometry as CIF:
```
data_Pr2B3PdPt12
_chemical_formula_sum 'Pr2 B3 Pd1 Pt12'
_symmetry_space_group_name_H-M 'P 1'
_symmetry_Int_Tables_number 1
_symmetry_space_group_name_Hall 'P 1'
_cell_length_a 7.454
_cell_length_b 7.454
_cell_length_c 7.454
_cell_angle_alpha 64.84
_cell_angle_beta 64.84
_cell_angle_gamma 64.84
loop_
_atom_site_label
_atom_site_fract_x
_atom_site_fract_y
_atom_site_fract_z
_atom_site_occupancy
Pr1 0.104 0.104 0.104 1
Pr2 0.896 0.896 0.896 1
B1 0.000 0.500 0.500 1
B2 0.500 0.000 0.500 1
B3 0.500 0.500 0.000 1
Pd1 0.500 0.500 0.500 1
Pt1 0.110 0.625 0.625 1
Pt2 0.176 0.176 0.587 1
Pt3 0.176 0.587 0.176 1
Pt4 0.375 0.375 0.890 1
Pt5 0.375 0.890 0.375 1
Pt6 0.413 0.824 0.824 1
Pt7 0.587 0.176 0.176 1
Pt8 0.625 0.110 0.625 1
Pt9 0.625 0.625 0.110 1
Pt10 0.824 0.413 0.824 1
Pt11 0.824 0.824 0.413 1
Pt12 0.890 0.375 0.375 1
```

Calculated values
Raw total energy ... -6.283 eV/atom
Spin magnetization ... 0.0 μB per formula unit

Question: Which value of spin magnetization does entry 4 give?
Answer: 0.0 μB per formula unit